## MgBe5 (meta-GGA SCAN)

Data for a PBEsol-optimized structure of MgBe5.

Output
For the electronic total energy, the calculation gives -26.35 eV/cell. The magnetization is 0.03 μB/f.u.

Lattice parameters (Å, degrees): 4.4120 4.4120 3.5530 90.00 90.00 120.00
Space group P6/mmm (No. 191)
Symmetry-distinct sites (fractional):
Mg  0.0000  0.0000  0.0000 (multiplicity 1)
Be  0.0000  0.5000  0.5000 (multiplicity 3)
Be  0.3333  0.6667  0.0000 (multiplicity 2)

=====

## Hf2TaFeSi (meta-GGA SCAN)

Data for a PBEsol-optimized structure of Hf2TaFeSi.

Output
The uncorrected formation energy is 1.28 eV per atom. The magnetization is 0.99 μB/f.u.

Lattice parameters (Å, degrees): 5.0396 5.0396 4.2618 90.00 90.00 90.00
Space group P4/mmm (No. 123)
Symmetry-distinct sites (fractional):
Hf  0.0000  0.5000  0.0000 (multiplicity 2)
Ta  0.0000  0.0000  0.0000 (multiplicity 1)
Fe  0.0000  0.0000  0.5000 (multiplicity 1)
Si  0.5000  0.5000  0.5000 (multiplicity 1)

=====

## NpCdPt2 (meta-GGA SCAN)

Data for a PBEsol-optimized structure of NpCdPt2.

Output
For the electronic total energy, the calculation gives -1117.61 eV/cell. The magnetization is 3.38 μB/f.u.

Lattice parameters (Å, degrees): 6.6891 6.6891 6.6891 90.00 90.00 90.00
Space group Fm-3m (No. 225)
Symmetry-distinct sites (fractional):
Np  0.0000  0.0000  0.0000 (multiplicity 4)
Cd  0.0000  0.0000  0.5000 (multiplicity 4)
Pt  0.2500  0.2500  0.2500 (multiplicity 8)

=====

## Li2ZrBeIr (meta-GGA SCAN)

Data for a PBEsol-optimized structure of Li2ZrBeIr.

Output
For the electronic total energy, the calculation gives -109.45 eV/cell. The magnetization is 0.00 μB/f.u.

Lattice parameters (Å, degrees): 4.3110 4.3110 4.1747 90.00 90.00 90.00
Space group P4/mmm (No. 123)
Symmetry-distinct sites (fractional):
Li  0.0000  0.5000  0.0000 (multiplicity 2)
Zr  0.0000  0.0000  0.5000 (multiplicity 1)
Be  0.5000  0.5000  0.5000 (multiplicity 1)
Ir  0.5000  0.5000  0.0000 (multiplicity 1)

=====

## MgAu5 (meta-GGA SCAN)

Data for a PBEsol-optimized structure of MgAu5.

Output
For the electronic total energy, the calculation gives -352.33 eV/cell. The magnetization is 0.00 μB/f.u.

Lattice parameters (Å, degrees): 2.9324 2.9324 11.8461 90.00 90.00 90.00
Space group P4/mmm (No. 123)
Symmetry-distinct sites (fractional):
Mg  0.0000  0.0000  0.0000 (multiplicity 1)
Au  0.0000  0.0000  0.3320 (multiplicity 2)
Au  0.5000  0.5000  0.1588 (multiplicity 2)
Au  0.5000  0.5000  0.5000 (multiplicity 1)

=====

## Ba2Ag (meta-GGA SCAN)

Data for a PBEsol-optimized structure of Ba2Ag.

Output
For the electronic total energy, the calculation gives -443.73 eV/cell. The magnetization is 0.00 μB/f.u.

Lattice parameters (Å, degrees): 8.7641 5.1241 10.6757 90.00 90.00 90.00
Space group Pnma (No. 62)
Symmetry-distinct sites (fractional):
Ba  0.0220  0.2500  0.1688 (multiplicity 4)
Ba  0.1454  0.2500  0.5710 (multiplicity 4)
Ag  0.2495  0.7500  0.3814 (multiplicity 4)